MnNb2Pb3O9 after structural relaxation, computed with PBE+U.

a b c (Å): 5.7085 5.7085 7.0072
angles (deg): 90.00 90.00 120.00
With the nearest neighbours (Å) after each atom.
Atoms (fractional coordinates):
Mn (0.0000, 0.0000, 0.0000)  6 O 1.99
Nb (0.3333, 0.6667, 0.6732)  6 O 2.02-2.05
Nb (0.6667, 0.3333, 0.3268)  6 O 2.02-2.05
Pb (0.0000, 0.0000, 0.5000)  12 O 2.85-2.87
Pb (0.3333, 0.6667, 0.1471)  12 O 2.74-2.97
Pb (0.6667, 0.3333, 0.8529)  12 O 2.74-2.97
O (0.0000, 0.5000, 0.5000)  2 Nb 2.05
O (0.1650, 0.3300, 0.8373)  1 Mn 1.99, 1 Nb 2.02
O (0.1650, 0.8350, 0.8373)  1 Mn 1.99, 1 Nb 2.02
O (0.3300, 0.1650, 0.1627)  1 Mn 1.99, 1 Nb 2.02
O (0.5000, 0.0000, 0.5000)  2 Nb 2.05
O (0.5000, 0.5000, 0.5000)  2 Nb 2.05
O (0.6700, 0.8350, 0.8373)  1 Mn 1.99, 1 Nb 2.02
O (0.8350, 0.1650, 0.1627)  1 Mn 1.99, 1 Nb 2.02
O (0.8350, 0.6700, 0.1627)  1 Mn 1.99, 1 Nb 2.02

Calculated values
Its density of states at the Fermi level is 2.68 states/eV/cell. Its symmetry is P-3m1. The calculation puts the total energy at -109.00 eV for the cell shown. Its total magnetization is 1.0 Bohr magnetons per cell.